Run w
An optimized crystal structure of AlAg2Sb. Source: the Alexandria database, functional PBE-GGA.

It has space group Imm2 (No. 44), with a = 4.2820 Å, b = 4.2987 Å, c = 8.7527 Å, α = 90.00°, β = 90.00° and γ = 90.00°. The inequivalent atoms are Al at (0.0000, 0.0000, 0.0000), Ag at (0.0000, 0.0000, 0.5000), Ag at (0.0000, 0.5000, 0.2505) and Sb at (0.0000, 0.5000, 0.7496).

***

Run x
An optimized crystal structure of AlAg2Sb. Source: the Alexandria database, functional PBE-GGA.

It has space group R3m (No. 160, hexagonal axes), with a = 4.4537 Å, b = 4.4537 Å, c = 15.0686 Å, α = 90.00°, β = 90.00° and γ = 120.00°. The inequivalent atoms are Al at (0.0000, 0.0000, 0.0000), Ag at (0.0000, 0.0000, 0.4062), Ag at (0.0000, 0.0000, 0.6156) and Sb at (0.0000, 0.0000, 0.1903).

***

The least stable of them is run w.

***

Run w
An optimized crystal structure of AlAg2Sb. Source: the Alexandria database, functional PBE-GGA.

It has space group Amm2 (No. 38), with a = 4.8413 Å, b = 3.0224 Å, c = 11.4780 Å, α = 90.00°, β = 90.00° and γ = 90.00°. The inequivalent atoms are Al at (0.0000, 0.0000, 0.0000), Ag at (0.0000, 0.0000, 0.3021), Ag at (0.5000, 0.0000, 0.8733) and Sb at (0.5000, 0.0000, 0.1382).

***

Run x
An optimized crystal structure of AlAg2Sb. Source: the Alexandria database, functional PBE-GGA.

It has space group Fm-3m (No. 225), with a = 6.9234 Å, b = 6.9234 Å, c = 6.9234 Å, α = 90.00°, β = 90.00° and γ = 90.00°. The inequivalent atoms are Al at (0.0000, 0.0000, 0.0000), Ag at (0.2500, 0.2500, 0.2500) and Sb at (0.0000, 0.0000, 0.5000).

***

The least stable of them is run x.